Material: Te2Au
Method: DFT, PBE-GGA
State: optimized geometry

```
6
Lattice="2.103 6.067 -0.618 -2.103 6.067 -0.618 0.000 1.921 7.344" Properties=species:S:1:pos:R:3 pbc="T T T"
Te 0.000 8.252 0.867
Te 0.000 5.802 5.241
Te 0.000 10.977 0.351
Te 0.000 3.077 5.757
Au 0.000 8.489 3.530
Au 0.000 5.566 2.577
```

Results
**E_tot**: -3.123 eV/atom
**E_form (uncorrected)**: 0.06 eV/atom
**DOS at the Fermi energy**: 1.6 states/eV/f.u.

Material: Mg2Zn3Pd
Method: DFT, PBE-GGA
State: optimized geometry

```
6
Lattice="4.544 -0.100 -2.364 -2.878 4.230 -0.258 -0.120 0.137 5.231" Properties=species:S:1:pos:R:3 pbc="T T T"
Zn 0.773 2.133 1.304
Zn -0.060 0.068 2.616
Zn 2.212 0.018 1.434
Mg -0.751 2.755 3.861
Mg 2.297 1.512 -1.252
Pd 0.000 0.000 0.000
```

Results
**Energy of formation**: -0.39 eV per atom
**E_tot**: -2.423 eV/atom
**Distance to the lowest polymorph of the same formula**: 0.000 eV per atom
**DOS at the Fermi energy**: 1.4 states/eV/f.u.

Material: Ba7Na2Cd2
Method: DFT, PBE-GGA
State: optimized geometry

```
11
Lattice="-1.829 8.307 0.883 -6.445 -0.797 -5.855 -4.769 -4.084 5.805" Properties=species:S:1:pos:R:3 pbc="T T T"
Ba -4.839 1.918 1.947
Ba -8.205 1.507 -1.115
Ba -10.495 -0.522 1.874
Ba -2.548 3.948 -1.042
Ba 0.000 0.000 0.000
Ba -5.849 6.060 2.303
Ba -7.195 -2.634 -1.470
Na -4.298 0.289 -1.838
Na -8.746 3.136 2.671
Cd -9.111 3.983 -3.572
Cd -3.933 -0.557 4.404
```

Results
**Energy of formation**: -0.02 eV per atom
**E_tot**: -1.645 eV/atom
**DOS at the Fermi energy**: 13.1 states/eV/f.u.

Material: Dy2UTl3S6
Method: DFT, PBE-GGA
State: optimized geometry

```
12
Lattice="6.989 0.001 0.000 -3.492 6.055 0.000 -1.166 -2.020 7.575" Properties=species:S:1:pos:R:3 pbc="T T T"
Dy 3.494 2.020 0.000
Dy 0.003 4.036 0.000
S -1.164 2.018 1.483
S -0.001 -0.001 6.086
S 2.332 4.037 1.489
S 3.495 2.018 6.092
S 0.002 4.036 6.092
S 2.329 0.001 1.483
Tl -2.319 4.030 3.787
Tl 1.165 2.018 3.787
Tl 4.650 0.006 3.787
U 0.000 0.000 0.000
```

Results
**E_tot**: -5.672 eV/atom
**E_form (uncorrected)**: -1.31 eV/atom
**DOS at the Fermi energy**: 9.5 states/eV/f.u.

Among the records above, which one has the lowest DOS at the Fermi energy? Mg2Zn3Pd

Among the records above, which one has the highest E_tot? Ba7Na2Cd2

Among the records above, which one has the highest DOS at the Fermi energy? Ba7Na2Cd2

The lowest DOS at the Fermi energy belongs to which entry? Mg2Zn3Pd